Below is Pr2NdSm4Ho2 after structural relaxation, with properties calculated at the PBE level.

a b c (Å): 6.928 8.886 6.104
angles (deg): 111.75 118.29 78.12
Fractional positions:
Ho (0.233, 0.556, 0.968)
Ho (0.767, 0.444, 0.032)
Sm (0.418, 0.117, 0.797)
Sm (0.673, 0.655, 0.602)
Sm (0.327, 0.345, 0.398)
Sm (0.582, 0.883, 0.203)
Nd (0.000, 0.000, 0.000)
Pr (0.131, 0.755, 0.514)
Pr (0.869, 0.245, 0.486)

- DFT formation energy (meV per atom) = 67
- total DFT energy (no corrections) (eV/atom) = -4.639